Here is an optimized crystal structure of Tb2Dy5Er3 from Alexandria via LeMat-Bulk. Energies are from PBE-GGA.

Cell lengths 9.396, 9.443, 9.427 Å; angles 108.52, 108.31, 111.57 degrees
Atoms (fractional coordinates):
Tb 0.970 0.017 0.751
Tb 0.030 0.983 0.249
Tb 0.281 0.734 0.751
Tb 0.719 0.266 0.249
Dy 0.220 0.470 0.940
Dy 0.780 0.530 0.060
Dy 0.978 0.728 0.455
Dy 0.482 0.232 0.464
Dy 0.022 0.272 0.545
Dy 0.518 0.768 0.536
Dy 0.898 0.617 0.767
Dy 0.102 0.383 0.233
Dy 0.369 0.150 0.767
Dy 0.631 0.850 0.233
Er 0.275 0.025 0.050
Er 0.725 0.975 0.950
Er 0.510 0.463 0.240
Er 0.490 0.537 0.760
Er 0.229 0.777 0.240
Er 0.771 0.223 0.760

**Formation enthalpy at 0 K**: 203 meV per atom
**Crystal system**: monoclinic
**Theoretical density**: 8.424 g/cm3
**V**: 32.17 Å³/atom
**Magnetization**: 0.00 μB/f.u.
**Excess energy over the best structure of this formula in the dataset**: 0.00 eV/f.u.
**Uncorrected energy**: -4.3927 eV/atom
**Space-group type**: C2/c (15)